Record 1
First-principles (GGA-PBEsol) data for an optimized crystal structure of Cs2AgHg2, as listed in the Alexandria database.

magnetization	0.000	μB per atom
DFT formation energy	-26	kJ/mol of formula units

abc: 7.8340 7.8340 5.7044
angles: 90.00 90.00 90.00
Space group P4/mbm (No. 127)
Inequivalent atoms, fractional coordinates:
Cs 0.1775 0.3225 0.0000 [4 per cell]
Ag 0.0000 0.0000 0.5000 [2 per cell]
Hg 0.1377 0.6377 0.5000 [4 per cell]

=====

Record 2
First-principles (GGA-PBEsol) data for an optimized crystal structure of Li2IrAu, as listed in the Alexandria database.

magnetization	0.000	μB per atom
DFT formation energy	-69	kJ/mol of formula units

abc: 5.4643 7.8630 2.5867
angles: 90.00 90.00 90.00
Space group Cmmm (No. 65)
Inequivalent atoms, fractional coordinates:
Li 0.2500 0.2500 0.0000 [4 per cell]
Ir 0.0000 0.0000 0.5000 [2 per cell]
Au 0.0000 0.5000 0.5000 [2 per cell]